# 1
La12Nd3Mg after structural relaxation. Source: Alexandria, functional PBE-GGA.

Cell: 5.2186 5.2186 20.9646 Å, 90.00 90.00 90.00°
Closest atoms and distances in Å follow each position.
Space group P4/mmm (No. 123)
Unique sites:
La1 0.0000 0.0000 0.0000  8 La 3.66, 4 Mg 3.69
La2 0.0000 0.0000 0.2475  4 Nd 3.69, 8 La 3.70-3.71
La3 0.0000 0.0000 0.5000  4 Nd 3.69, 8 La 3.73
La4 0.0000 0.5000 0.1222  8 La 3.66-3.70, 2 Mg 3.66, 2 Nd 3.68
La5 0.0000 0.5000 0.3731  8 La 3.69-3.73, 4 Nd 3.73
Nd1 0.5000 0.5000 0.2463  12 La 3.68-3.73
Nd2 0.5000 0.5000 0.5000  12 La 3.69-3.73
Mg1 0.5000 0.5000 0.0000  12 La 3.66-3.69

E_tot   -75.0 eV per cell
ΔE_f   0 meV per atom

# 2
ZrMnHg2 after structural relaxation. Source: Alexandria, functional PBE-GGA.

Cell: 3.1950 3.1950 28.2553 Å, 90.00 90.00 120.00°
Closest atoms and distances in Å follow each position.
Space group R-3m (No. 166, hexagonal axes)
Unique sites:
Zr1 0.0000 0.0000 0.0000  6 Hg 3.12, 6 Zr 3.20
Mn1 0.0000 0.0000 0.5000  6 Hg 2.86, 6 Mn 3.20
Hg1 0.0000 0.0000 0.2441  3 Mn 2.86, 3 Zr 3.12, 6 Hg 3.20

E_tot   -52.9 eV per cell
ΔE_f   170 meV per atom

# 3
ScCdInHg after structural relaxation. Source: Alexandria, functional PBE-GGA.

Cell: 4.1850 4.5881 4.6367 Å, 90.00 90.00 90.00°
Closest atoms and distances in Å follow each position.
Space group Pmmm (No. 47)
Unique sites:
Sc1 0.0000 0.0000 0.0000  4 In 3.11, 4 Hg 3.12, 4 Cd 3.26
Cd1 0.0000 0.5000 0.5000  4 Hg 3.11, 4 In 3.12, 4 Sc 3.26
In1 0.5000 0.5000 0.0000  4 Sc 3.11, 4 Cd 3.12, 4 Hg 3.26
Hg1 0.5000 0.0000 0.5000  4 Cd 3.11, 4 Sc 3.12, 4 In 3.26

E_tot   -11.4 eV per cell
ΔE_f   -272 meV per atom